No. 1
CuReMo2: relaxed, PBE-GGA.

a b c (Å): 3.192 4.291 8.713
angles (deg): 90.00 90.00 90.00
Space group Cmmm (No. 65)
Symmetry-distinct sites (fractional):
Cu  0.000  0.000  0.000 x2
Re  0.000  0.000  0.500 x2
Mo  0.000  0.500  0.246 x4

Offset from the most stable computed form = 18 meV/atom
E_form = 0.194 eV/atom
Electronic total energy = -9.3578 eV per atom
Total moment = 0.0 μB per formula unit

No. 2
Cu2ReMo: relaxed, PBE-GGA.

a b c (Å): 3.591 3.591 18.775
angles (deg): 90.00 90.00 90.00
Space group I-42d (No. 122)
Symmetry-distinct sites (fractional):
Cu  0.244  0.250  0.125 x8
Re  0.000  0.000  0.000 x4
Mo  0.000  0.000  0.500 x4

Offset from the most stable computed form = 509 meV/atom
E_form = 0.695 eV/atom
Electronic total energy = -7.1734 eV per atom
Total moment = 0.0 μB per formula unit